Record 1
Below is an optimized crystal structure of FePtAu, with properties calculated at the PBE-GGA level.

Raw total energy ... -35.92 eV for the cell shown
Calculated formation energy ... -0.060 eV/atom

abc: 3.866 6.305 5.624
angles: 48.00 90.00 107.85
Sites, in units of the cell vectors:
Pt: 0.340 0.679 0.742
Pt: 0.660 0.321 0.258
Fe: 0.006 0.012 0.265
Fe: 0.994 0.988 0.735
Au: 0.661 0.322 0.759
Au: 0.339 0.678 0.241

***

Record 2
Below is an optimized crystal structure of CoAs4Cl, with properties calculated at the PBE-GGA level.

Raw total energy ... -24.07 eV for the cell shown
Raw formation energy ... 0.5805 eV/atom

abc: 5.704 5.704 5.704
angles: 60.00 60.00 60.00
Sites, in units of the cell vectors:
Cl: 0.750 0.750 0.750
As: 0.389 0.389 0.389
As: 0.389 0.389 0.832
As: 0.389 0.832 0.389
As: 0.832 0.389 0.389
Co: 0.000 0.000 0.000

***

Record 3
Below is an optimized crystal structure of SmU2Se4, with properties calculated at the PBE-GGA level.

Raw total energy ... -101.03 eV for the cell shown
Raw formation energy ... -1.3258 eV/atom

abc: 7.555 7.555 7.555
angles: 109.64 109.13 109.64
Sites, in units of the cell vectors:
Se: 0.777 0.251 0.872
Se: 0.276 0.249 0.872
Se: 0.128 0.404 0.378
Se: 0.128 0.904 0.378
Se: 0.622 0.751 0.027
Se: 0.973 0.596 0.724
Se: 0.622 0.749 0.526
Se: 0.474 0.096 0.223
U: 0.875 0.124 0.499
U: 0.501 0.376 0.625
U: 0.375 0.876 0.751
U: 0.249 0.624 0.125
Sm: 0.000 0.000 0.000
Sm: 0.750 0.500 0.250

***

Record 4
Below is an optimized crystal structure of Mg3SO6, with properties calculated at the PBE-GGA level.

Raw total energy ... -119.32 eV for the cell shown
Raw formation energy ... -2.0999 eV/atom

abc: 5.675 6.638 6.638
angles: 103.53 90.00 90.00
Sites, in units of the cell vectors:
O: 0.798 0.668 0.666
O: 0.183 0.806 0.194
O: 0.047 0.391 0.907
O: 0.298 0.332 0.334
O: 0.798 0.334 0.332
O: 0.547 0.907 0.391
O: 0.547 0.609 0.093
O: 0.298 0.666 0.668
O: 0.014 0.043 0.957
O: 0.683 0.194 0.806
O: 0.514 0.957 0.043
O: 0.047 0.093 0.609
Mg: 0.550 0.449 0.551
Mg: 0.547 0.871 0.702
Mg: 0.050 0.551 0.449
Mg: 0.547 0.298 0.129
Mg: 0.047 0.702 0.871
Mg: 0.047 0.129 0.298
S: 0.454 0.816 0.184
S: 0.954 0.184 0.816

***

Record 5
Below is an optimized crystal structure of ErCu4Ni, with properties calculated at the PBE-GGA level.

Raw total energy ... -54.76 eV for the cell shown
Calculated formation energy ... -0.108 eV/atom

abc: 3.774 6.470 7.236
angles: 90.00 90.00 90.00
Sites, in units of the cell vectors:
Cu: 0.500 0.037 0.250
Cu: 0.500 0.294 0.547
Cu: 0.500 0.706 0.453
Cu: 0.000 0.000 0.500
Cu: 0.500 0.294 0.953
Cu: 0.500 0.963 0.750
Cu: 0.500 0.706 0.047
Cu: 0.000 0.000 0.000
Er: 0.000 0.388 0.250
Er: 0.000 0.612 0.750
Ni: 0.000 0.226 0.750
Ni: 0.000 0.774 0.250

***

Record 6
Below is an optimized crystal structure of Rb2NaSn2, with properties calculated at the PBE-GGA level.

Raw total energy ... -23.65 eV for the cell shown
Calculated formation energy ... -0.113 eV/atom

abc: 7.386 7.370 9.763
angles: 99.98 90.00 120.07
Sites, in units of the cell vectors:
Rb: 0.806 0.286 0.630
Rb: 0.194 0.714 0.370
Rb: 0.480 0.286 0.130
Rb: 0.520 0.714 0.870
Sn: 0.018 0.694 0.998
Sn: 0.675 0.694 0.498
Sn: 0.982 0.306 0.002
Sn: 0.325 0.306 0.502
Na: 0.914 0.000 0.250
Na: 0.086 0.000 0.750